Density functional theory data (PBE) for a relaxed TaMnHg2 crystal.

As for the space-group type: I-42d, No. 122. As for the calculated formation energy: 1.0589 eV/atom. The density of states at the Fermi level is 1.768 states/eV per atom.

a = 5.9621 Å, b = 5.9621 Å, c = 5.9621 Å
α = 102.20°, β = 102.20°, γ = 125.27°
Closest atoms and distances in Å follow each position.
Positions (direct):
Ta 0.0000 0.0000 0.0000  2 Mn 2.74, 4 Hg 2.86
Ta 0.7500 0.2500 0.5000  2 Mn 2.74, 4 Hg 2.86
Mn 0.2500 0.7500 0.5000  4 Hg 2.62, 2 Ta 2.74
Mn 0.5000 0.5000 0.0000  4 Hg 2.62, 2 Ta 2.74
Hg 0.1482 0.6250 0.0232  2 Mn 2.62, 2 Hg 2.76, 2 Ta 2.86
Hg 0.3750 0.3982 0.5232  2 Mn 2.62, 2 Hg 2.76, 2 Ta 2.86
Hg 0.6018 0.1250 0.9768  2 Mn 2.62, 2 Hg 2.76, 2 Ta 2.86
Hg 0.8750 0.8518 0.4768  2 Mn 2.62, 2 Hg 2.76, 2 Ta 2.86

Density functional theory data (PBE) for a relaxed Ta2MnHg crystal.

As for the space-group type: Cmm2, No. 35. As for the calculated formation energy: 0.2243 eV/atom. The density of states at the Fermi level is 0.879 states/eV per atom.

a = 2.8687 Å, b = 2.8687 Å, c = 8.9609 Å
α = 90.00°, β = 90.00°, γ = 102.87°
Closest atoms and distances in Å follow each position.
Positions (direct):
Ta 0.0000 0.0000 0.0000  8 Ta 2.87-3.18, 2 Hg 3.02
Ta 0.5000 0.5000 0.2513  4 Mn 2.71-3.03, 6 Ta 2.87-2.88
Mn 0.0000 0.0000 0.4783  4 Ta 2.71-3.03, 2 Hg 2.86, 4 Mn 2.87
Hg 0.5000 0.5000 0.7280  4 Mn 2.86-3.17, 4 Hg 2.87, 2 Ta 3.02

Density functional theory data (PBE) for a relaxed TaMnTcHg2 crystal.

As for the space-group type: P4/mmm, No. 123. As for the calculated formation energy: 1.4138 eV/atom. The density of states at the Fermi level is 1.109 states/eV per atom.

a = 4.8775 Å, b = 4.8775 Å, c = 4.2708 Å
α = 90.00°, β = 90.00°, γ = 90.00°
Closest atoms and distances in Å follow each position.
Positions (direct):
Ta 0.0000 0.0000 0.0000  8 Hg 3.24, 4 Tc 3.45
Mn 0.5000 0.5000 0.5000  2 Tc 2.14
Tc 0.5000 0.5000 0.0000  2 Mn 2.14
Hg 0.0000 0.5000 0.5000  2 Mn 2.44
Hg 0.5000 0.0000 0.5000  2 Mn 2.44

Density functional theory data (PBE) for a relaxed Ta2MnHg2Te6 crystal.

As for the space-group type: C2/m, No. 12. For the uncorrected formation energy, the calculation gives -2.10 eV/f.u. The density of states at the Fermi level is 0.546 states/eV per atom.

a = 6.4438 Å, b = 6.4438 Å, c = 10.2620 Å
α = 97.50°, β = 97.50°, γ = 120.01°
Closest atoms and distances in Å follow each position.
Positions (direct):
Ta 0.1684 0.8316 0.0000  6 Te 2.80-2.81
Ta 0.8316 0.1684 0.0000  6 Te 2.80-2.81
Mn 0.5000 0.5000 0.0000  6 Te 2.71
Hg 0.3120 0.6880 0.5000  2 Hg 3.51, 4 Te 3.71-3.91
Hg 0.6880 0.3120 0.5000  2 Hg 3.51, 4 Te 3.71-3.91
Te 0.1050 0.4250 0.8225  1 Mn 2.71, 2 Ta 2.80
Te 0.2514 0.2514 0.1756  1 Mn 2.71, 2 Ta 2.81
Te 0.4250 0.1050 0.8225  1 Mn 2.71, 2 Ta 2.80
Te 0.5750 0.8950 0.1775  1 Mn 2.71, 2 Ta 2.80
Te 0.7486 0.7486 0.8244  1 Mn 2.71, 2 Ta 2.81
Te 0.8950 0.5750 0.1775  1 Mn 2.71, 2 Ta 2.80

Density functional theory data (PBE) for a relaxed TaMnTlHg2 crystal.

As for the space-group type: P4/mmm, No. 123. As for the calculated formation energy: 1.6867 eV/atom. The density of states at the Fermi level is 1.087 states/eV per atom.

a = 5.3948 Å, b = 5.3948 Å, c = 5.1112 Å
α = 90.00°, β = 90.00°, γ = 90.00°
Closest atoms and distances in Å follow each position.
Positions (direct):
Ta 0.0000 0.0000 0.0000  8 Hg 3.72, 4 Mn 3.81
Mn 0.5000 0.5000 0.0000  2 Tl 2.56
Tl 0.5000 0.5000 0.5000  2 Mn 2.56, 4 Hg 2.70
Hg 0.0000 0.5000 0.5000  2 Tl 2.70
Hg 0.5000 0.0000 0.5000  2 Tl 2.70

Density functional theory data (PBE) for a relaxed Tb6Mn2Hg crystal.

As for the space-group type: Immm, No. 71. As for the calculated formation energy: -0.0584 eV/atom. The density of states at the Fermi level is 0.996 states/eV per atom.

a = 8.4290 Å, b = 8.4290 Å, c = 8.4290 Å
α = 111.00°, β = 109.38°, γ = 108.04°
Closest atoms and distances in Å follow each position.
Positions (direct):
Tb 0.0076 0.2254 0.7822  1 Mn 2.80, 1 Hg 3.08
Tb 0.1886 0.2869 0.4754  2 Mn 2.93
Tb 0.1886 0.7131 0.9017  2 Mn 2.93
Tb 0.3133 0.0242 0.7108  3 Mn 2.88-2.93
Tb 0.3133 0.6025 0.2892  3 Mn 2.88-2.93
Tb 0.4433 0.2254 0.2178  1 Mn 2.80, 1 Hg 3.08
Tb 0.5567 0.7746 0.7822  1 Mn 2.80, 1 Hg 3.08
Tb 0.6867 0.3975 0.7108  3 Mn 2.88-2.93
Tb 0.6867 0.9758 0.2892  3 Mn 2.88-2.93
Tb 0.8114 0.2869 0.0983  2 Mn 2.93
Tb 0.8114 0.7131 0.5246  2 Mn 2.93
Tb 0.9924 0.7746 0.2178  1 Mn 2.80, 1 Hg 3.08
Mn 0.1054 0.6054 0.5000  1 Mn 2.09
Mn 0.3910 0.0000 0.3910  1 Mn 2.12
Mn 0.6090 0.0000 0.6090  1 Mn 2.12
Mn 0.8946 0.3946 0.5000  1 Mn 2.09
Hg 0.0000 0.0000 0.0000  8 Tb 3.08-3.30
Hg 0.5000 0.5000 0.0000  12 Tb 3.32-3.65

Density functional theory data (PBE) for a relaxed TbYMnHg crystal.

As for the space-group type: F-43m, No. 216. As for the calculated formation energy: -0.0864 eV/atom. The density of states at the Fermi level is 1.454 states/eV per atom.

a = 5.1641 Å, b = 5.1641 Å, c = 5.1641 Å
α = 60.00°, β = 60.00°, γ = 60.00°
Closest atoms and distances in Å follow each position.
Positions (direct):
Tb 0.0000 0.0000 0.0000  4 Hg 3.16, 4 Mn 3.16
Y 0.5000 0.5000 0.5000  4 Hg 3.16, 4 Mn 3.16
Mn 0.2500 0.2500 0.2500  4 Tb 3.16, 4 Y 3.16
Hg 0.7500 0.7500 0.7500  4 Tb 3.16, 4 Y 3.16

Density functional theory data (PBE) for a relaxed MnTc4Hg crystal.

As for the space-group type: F-43m, No. 216. As for the calculated formation energy: 0.5102 eV/atom. The density of states at the Fermi level is 1.170 states/eV per atom.

a = 5.1720 Å, b = 5.1720 Å, c = 5.1720 Å
α = 60.00°, β = 60.00°, γ = 60.00°
Closest atoms and distances in Å follow each position.
Positions (direct):
Mn 0.0000 0.0000 0.0000  12 Tc 3.03, 4 Hg 3.17
Tc 0.3749 0.3749 0.3749  6 Tc 2.58-2.59
Tc 0.3749 0.3749 0.8754  6 Tc 2.58-2.59
Tc 0.3749 0.8754 0.3749  6 Tc 2.58-2.59
Tc 0.8754 0.3749 0.3749  6 Tc 2.58-2.59
Hg 0.7500 0.7500 0.7500  12 Tc 3.03, 4 Mn 3.17

Calculated values (g/cm³) of mass density for the records, taken in order: 13.8, 14.3, 12.0, 7.4, 9.4, 9.1, 8.6, 11.0.